[1]
This record from the Alexandria database describes a relaxed structure of TaCoSi2. The functional is GGA-PBE.

```
4
Lattice="-1.402 2.893 -4.193 -3.288 -1.577 -3.824 0.528 0.388 5.243" Properties=species:S:1:pos:R:3 pbc="T T T"
Si -1.644 1.979 -1.538
Si -0.231 0.065 -0.396
Co -2.417 -0.304 -1.064
Ta -2.214 0.621 -3.785
```

Computed properties:
space group = Imm2 (44)
total DFT energy (no corrections) = -7.765 eV/atom
formation energy (no corrections) = -30 kJ per mole of atoms

=====

[2]
This record from the Alexandria database describes a relaxed structure of HfSc2PbN. The functional is GGA-PBE.

```
5
Lattice="-3.253 2.440 -2.100 -3.199 -2.123 2.491 0.338 3.094 3.071" Properties=species:S:1:pos:R:3 pbc="T T T"
Sc -1.600 -1.062 1.245
Pb -3.058 1.705 1.731
Sc -1.627 1.220 -1.050
N 0.000 0.000 0.000
Hf 0.169 1.547 1.535
```

Computed properties:
space group = P4/mmm (123)
total DFT energy (no corrections) = -7.803 eV/atom
formation energy (no corrections) = -84 kJ per mole of atoms

=====

[3]
This record from the Alexandria database describes a relaxed structure of PRhI. The functional is GGA-PBE.

```
3
Lattice="3.683 0.004 -0.007 1.831 3.189 -0.015 1.816 -0.945 5.798" Properties=species:S:1:pos:R:3 pbc="T T T"
Rh 6.230 2.137 5.673
I 4.389 1.048 3.625
P 4.424 0.960 0.777
```

Computed properties:
space group = P1 (1)
energy above the lowest structure with this stoichiometry = 0.0000 eV/atom
total DFT energy (no corrections) = -4.915 eV/atom
formation energy (no corrections) = -14 kJ per mole of atoms

=====

[4]
This record from the Alexandria database describes a relaxed structure of AcSm6Tm4. The functional is GGA-PBE.

```
22
Lattice="5.878 0.000 0.000 -2.939 4.878 0.000 0.000 0.000 25.808" Properties=species:S:1:pos:R:3 pbc="T T T"
Sm 2.939 0.000 12.904
Tm 0.000 4.478 9.712
Sm 0.000 1.215 8.294
Sm 2.939 3.662 17.514
Sm 2.939 0.487 19.356
Tm 2.939 3.395 14.009
Tm 0.000 4.478 3.192
Sm 0.000 1.934 15.389
Sm 2.939 3.662 21.198
Tm 2.939 0.400 22.616
Tm 2.939 0.400 16.096
Sm 2.939 2.943 2.485
Sm 0.000 1.934 23.324
Tm 0.000 1.483 1.105
Sm 0.000 1.215 4.610
Tm 2.939 3.395 24.703
Tm 0.000 1.483 11.799
Sm 2.939 0.000 0.000
Ac 0.000 2.049 19.356
Sm 0.000 4.391 6.452
Ac 2.939 2.829 6.452
Sm 2.939 2.943 10.419
```

Computed properties:
space group = Cmcm (63)
energy relative to the elements = 0.13 eV per atom
total DFT energy (no corrections) = -4.442 eV/atom

=====

[5]
This record from the Alexandria database describes a relaxed structure of Ti2NiMo2. The functional is GGA-PBE.

```
10
Lattice="-3.959 3.089 -3.879 -0.861 -5.316 -3.356 -2.963 -0.951 2.267" Properties=species:S:1:pos:R:3 pbc="T T T"
Ti -2.148 -3.452 -4.256
Ti -0.875 -1.451 -1.753
Mo -4.855 -2.801 -4.251
Ni 0.000 0.000 0.000
Mo -2.928 -0.377 -0.716
Mo -2.741 -3.517 -1.789
Ti -2.672 1.225 -2.978
Mo -5.042 0.339 -3.178
Ni -2.410 -1.113 -3.617
Ti -3.945 -0.776 -5.481
```

Computed properties:
space group = P4/mbm (127)
energy relative to the elements = 0.24 eV per atom
energy above the lowest structure with this stoichiometry = 0.0000 eV/atom
total DFT energy (no corrections) = -8.405 eV/atom

=====

[6]
This record from the Alexandria database describes a relaxed structure of AcH6IrPd2. The functional is GGA-PBE.

```
20
Lattice="-2.749 2.347 -3.322 1.591 -3.070 -3.487 -6.823 -5.357 1.603" Properties=species:S:1:pos:R:3 pbc="T T T"
Pd -5.137 -4.091 0.961
H -4.783 -2.924 -1.814
H -4.695 -4.260 -5.125
H -5.682 -5.181 -0.482
Pd -5.539 -4.569 -2.260
Ir -4.786 -1.505 -0.859
H -2.299 -0.899 -4.723
H -4.004 -5.391 -2.989
Ac -1.375 1.174 -1.661
H -3.286 -1.819 -0.081
Pd -2.442 -1.510 -2.945
H -3.198 -3.155 -3.392
Ac -2.616 -4.213 -0.942
H -7.361 -4.696 -2.499
H -0.620 -1.383 -2.707
Ir 0.796 -1.535 -1.743
H -3.977 -0.688 -2.217
H -5.015 -7.430 -1.410
Pd -2.844 -1.988 -6.166
H -2.966 1.351 -3.795
```

Computed properties:
space group = P2_1/c (14)
total DFT energy (no corrections) = -4.693 eV/atom

=====

[7]
This record from the Alexandria database describes a relaxed structure of LiZn11Ni. The functional is GGA-PBE.

```
13
Lattice="4.722 0.078 1.967 2.400 6.224 1.000 -0.037 0.039 6.739" Properties=species:S:1:pos:R:3 pbc="T T T"
Zn 3.245 4.085 5.821
Zn -0.018 0.019 3.370
Ni 3.561 3.151 1.484
Zn 2.897 1.417 6.536
Zn 1.922 1.378 2.226
Zn 3.840 2.255 3.885
Zn 5.425 2.294 6.729
Zn 2.342 0.058 4.353
Li 0.000 0.000 0.000
Zn 5.163 4.962 7.480
Zn 4.188 4.923 3.170
Zn 1.659 4.046 2.977
Zn 1.200 3.112 0.500
```

Computed properties:
space group = C2/m (12)
energy relative to the elements = -0.08 eV per atom
total DFT energy (no corrections) = -1.751 eV/atom

=====

[8]
This record from the Alexandria database describes a relaxed structure of ScRe2Hg. The functional is GGA-PBE.

```
4
Lattice="2.757 0.000 0.000 0.000 2.757 0.000 0.000 0.000 9.262" Properties=species:S:1:pos:R:3 pbc="T T T"
Re 0.000 0.000 0.052
Sc 1.378 1.378 2.315
Re 0.000 0.000 4.578
Hg 1.378 1.378 6.946
```

Computed properties:
space group = P4/mmm (123)
energy relative to the elements = 0.58 eV per atom
total DFT energy (no corrections) = -7.298 eV/atom

=====

[9]
This record from the Alexandria database describes a relaxed structure of NbTc2AgW. The functional is GGA-PBE.

```
5
Lattice="-3.210 1.536 3.100 0.765 -3.938 2.742 3.379 2.300 2.360" Properties=species:S:1:pos:R:3 pbc="T T T"
Nb 0.382 -1.969 1.371
Ag 0.467 -0.051 4.101
Tc 1.690 1.150 1.180
W 0.000 0.000 0.000
Tc -1.605 0.768 1.550
```

Computed properties:
space group = P4/mmm (123)
energy relative to the elements = 1.57 eV per atom
total DFT energy (no corrections) = -7.749 eV/atom

=====

[10]
This record from the Alexandria database describes a relaxed structure of Si3Rh. The functional is GGA-PBE.

```
4
Lattice="-1.594 3.580 2.204 -0.062 -3.429 2.908 2.612 0.654 0.827" Properties=species:S:1:pos:R:3 pbc="T T T"
Si 1.275 -1.387 1.867
Si 0.509 2.117 1.516
Si -0.828 0.076 2.556
Rh 0.000 0.000 0.000
```

Computed properties:
space group = Cmmm (65)
total DFT energy (no corrections) = -5.909 eV/atom
formation energy (no corrections) = 0 kJ per mole of atoms

=====

[11]
This record from the Alexandria database describes a relaxed structure of SmTl. The functional is GGA-PBE.

```
2
Lattice="-2.115 -0.976 3.082 2.348 -2.995 0.664 2.222 2.237 2.233" Properties=species:S:1:pos:R:3 pbc="T T T"
Tl 1.227 -0.867 2.990
Sm 0.000 0.000 0.000
```

Computed properties:
space group = Pm-3m (221)
energy relative to the elements = -0.38 eV per atom
total DFT energy (no corrections) = -3.926 eV/atom

=====

[12]
This record from the Alexandria database describes a relaxed structure of Ca3ScS. The functional is GGA-PBE.

```
5
Lattice="5.484 0.000 0.000 0.000 5.484 0.000 0.000 0.000 5.484" Properties=species:S:1:pos:R:3 pbc="T T T"
S 0.000 0.000 0.000
Sc 2.742 2.742 2.742
Ca 2.742 0.000 0.000
Ca 0.000 0.000 2.742
Ca 0.000 2.742 0.000
```

Computed properties:
space group = Pm-3m (221)
energy above the lowest structure with this stoichiometry = 0.0000 eV/atom
total DFT energy (no corrections) = -3.800 eV/atom
formation energy (no corrections) = -49 kJ per mole of atoms

=====

[13]
This record from the Alexandria database describes a relaxed structure of Ce2Er2Sb2C. The functional is GGA-PBE.

```
7
Lattice="4.778 0.000 0.000 0.000 4.778 0.000 -2.389 -2.389 8.099" Properties=species:S:1:pos:R:3 pbc="T T T"
Sb 0.000 0.000 5.908
C 0.000 0.000 0.000
Sb 2.389 2.389 2.191
Ce 2.389 2.389 5.495
Er 0.000 2.389 0.000
Ce 0.000 0.000 2.604
Er 2.389 0.000 0.000
```

Computed properties:
space group = I4/mmm (139)
total DFT energy (no corrections) = -6.288 eV/atom
formation energy (no corrections) = -77 kJ per mole of atoms

=====

[14]
This record from the Alexandria database describes a relaxed structure of Cs2TlN. The functional is GGA-PBE.

```
8
Lattice="-6.669 6.669 2.235 6.669 -6.669 2.235 6.669 6.669 -2.235" Properties=species:S:1:pos:R:3 pbc="T T T"
Cs 3.334 6.183 0.559
N 0.000 6.669 1.118
Cs -0.485 3.334 1.677
Cs 3.334 0.485 2.794
N 0.000 0.000 2.235
Tl 6.669 0.000 1.118
Cs 7.154 3.334 -0.559
Tl 0.000 0.000 0.000
```

Computed properties:
space group = I-42d (122)
energy above the lowest structure with this stoichiometry = 0.0000 eV/atom
total DFT energy (no corrections) = -2.629 eV/atom
formation energy (no corrections) = 45 kJ per mole of atoms

=====

[15]
This record from the Alexandria database describes a relaxed structure of Th2MgAl. The functional is GGA-PBE.

```
4
Lattice="-1.334 -2.020 3.891 4.407 0.646 1.847 -1.363 4.279 1.755" Properties=species:S:1:pos:R:3 pbc="T T T"
Mg -0.667 -1.010 1.946
Al 0.855 1.452 3.746
Th 2.203 0.323 0.923
Th -0.681 2.140 0.877
```

Computed properties:
space group = P4/mmm (123)
energy relative to the elements = -0.08 eV per atom
total DFT energy (no corrections) = -5.123 eV/atom

=====

[16]
This record from the Alexandria database describes a relaxed structure of RbTaCl4. The functional is GGA-PBE.

```
12
Lattice="5.349 -0.305 -2.098 -0.897 6.773 -3.273 -0.860 0.176 9.367" Properties=species:S:1:pos:R:3 pbc="T T T"
Cl -0.211 1.594 -0.770
Cl 0.886 4.087 4.686
Rb 0.287 1.354 2.724
Rb 3.305 5.289 1.273
Ta -0.182 3.304 6.888
Cl 1.247 1.360 6.003
Cl 2.705 2.556 -0.689
Cl -0.686 5.179 -2.503
Cl 2.344 5.283 -2.007
Cl 3.580 2.003 3.163
Ta 3.773 3.339 -2.891
Cl 0.011 4.641 0.834
```

Computed properties:
space group = C2/m (12)
total DFT energy (no corrections) = -4.709 eV/atom
formation energy (no corrections) = -129 kJ per mole of atoms

=====

[17]
This record from the Alexandria database describes a relaxed structure of CaTc2Rh. The functional is GGA-PBE.

```
4
Lattice="5.317 0.003 0.000 -2.792 4.525 0.000 0.000 0.000 2.743" Properties=species:S:1:pos:R:3 pbc="T T T"
Tc 0.000 0.000 0.000
Rh -1.396 2.263 1.372
Tc 1.263 2.264 0.000
Ca 2.659 0.002 1.372
```

Computed properties:
space group = Cmmm (65)
energy relative to the elements = 0.45 eV per atom
energy above the lowest structure with this stoichiometry = 0.2758 eV/atom
total DFT energy (no corrections) = -7.075 eV/atom

=====

[18]
This record from the Alexandria database describes a relaxed structure of La2HgC2. The functional is GGA-PBE.

```
10
Lattice="4.075 0.000 -1.115 -0.714 6.566 -2.610 0.175 -0.338 8.645" Properties=species:S:1:pos:R:3 pbc="T T T"
La 3.004 3.773 0.182
La 1.939 0.490 1.876
C 3.080 6.289 1.152
Hg 0.316 1.642 -0.788
C 2.367 3.006 2.750
C 0.456 -0.061 3.768
La 1.597 5.738 3.044
C 1.169 3.222 2.170
La 0.532 2.455 4.738
Hg 3.045 4.925 -2.937
```

Computed properties:
space group = C2/c (15)
energy relative to the elements = -0.34 eV per atom
total DFT energy (no corrections) = -6.060 eV/atom

=====

[19]
This record from the Alexandria database describes a relaxed structure of Dy5NiPb4. The functional is GGA-PBE.

```
10
Lattice="6.210 0.000 0.000 3.105 6.832 0.000 3.105 0.000 6.832" Properties=species:S:1:pos:R:3 pbc="T T T"
Dy 9.379 2.442 5.863
Pb 3.182 1.752 2.696
Dy 6.274 5.863 4.390
Dy 2.914 0.000 0.000
Pb 9.392 5.080 4.135
Ni 5.903 0.000 0.000
Pb 6.287 4.135 1.752
Dy 6.274 0.969 2.442
Pb 6.287 2.696 5.080
Dy 3.169 4.390 0.969
```

Computed properties:
space group = I4 (79)
energy relative to the elements = -0.27 eV per atom
total DFT energy (no corrections) = -4.628 eV/atom

=====

[20]
This record from the Alexandria database describes a relaxed structure of Cd2WSe. The functional is GGA-PBE.

```
4
Lattice="4.781 0.000 0.000 2.390 4.140 0.000 2.390 1.380 3.903" Properties=species:S:1:pos:R:3 pbc="T T T"
Se 4.781 2.760 1.952
W 7.171 4.140 2.928
Cd 2.390 1.380 0.976
Cd 0.000 0.000 0.000
```

Computed properties:
space group = F-43m (216)
total DFT energy (no corrections) = -3.727 eV/atom
formation energy (no corrections) = 81 kJ per mole of atoms